1.
VASP calculation (PBE) on a geometry-optimized CdBO2F structure.

Geometry as POSCAR:
```
CdBO2F
1.0
4.530 0.000 0.000
0.000 5.371 0.000
-2.225 0.000 5.223
Cd B O F
2 2 4 2
direct
0.217 0.250 0.293
0.783 0.750 0.707
0.493 0.250 0.891
0.507 0.750 0.109
0.311 0.750 0.858
0.441 0.750 0.321
0.559 0.250 0.679
0.689 0.250 0.142
0.163 0.250 0.854
0.837 0.750 0.146
```

Summary:
Formation energy (no corrections) = -1.889 eV per atom
Space-group type = P2_1/m

2.
VASP calculation (PBE) on a geometry-optimized Cs2TaSnPb structure.

Geometry as POSCAR:
```
Cs2TaSnPb
1.0
7.356 0.000 0.000
0.000 7.356 0.000
0.000 0.000 5.742
Cs Ta Sn Pb
2 1 1 1
direct
0.000 0.500 0.000
0.500 0.000 0.000
0.000 0.000 0.500
0.500 0.500 0.000
0.500 0.500 0.500
```

Summary:
E = -2.86 eV per atom
Space-group type = P4/mmm

3.
VASP calculation (PBE) on a geometry-optimized Dy12HfTl3 structure.

Geometry as POSCAR:
```
Dy12HfTl3
1.0
4.829 0.000 0.000
0.000 4.829 0.000
0.000 0.000 19.629
Dy Hf Tl
12 1 3
direct
0.000 0.000 0.000
0.000 0.000 0.249
0.000 0.000 0.500
0.000 0.000 0.751
0.000 0.500 0.125
0.000 0.500 0.378
0.000 0.500 0.622
0.000 0.500 0.875
0.500 0.000 0.125
0.500 0.000 0.378
0.500 0.000 0.622
0.500 0.000 0.875
0.500 0.500 0.500
0.500 0.500 0.000
0.500 0.500 0.247
0.500 0.500 0.753
```

Summary:
E = -4.63 eV per atom
Space-group type = P4/mmm

4.
VASP calculation (PBE) on a geometry-optimized Gd3ThF structure.

Geometry as POSCAR:
```
Gd3ThF
1.0
5.101 0.000 0.000
0.000 5.101 0.000
0.000 0.000 5.101
Gd Th F
3 1 1
direct
0.000 0.000 0.500
0.000 0.500 0.000
0.500 0.000 0.000
0.500 0.500 0.500
0.000 0.000 0.000
```

Summary:
Formation energy (no corrections) = -0.898 eV per atom
Space-group type = Pm-3m